Entry 1:
CoRuPb2: relaxed, GGA-PBEsol.

The total energy is -5.928 eV/atom. The value obtained for the excess energy over the best structure of this formula in the dataset is 0.00 kJ per mole of atoms. Its formation energy is 0.549 eV/atom.

Cell lengths 3.260, 3.260, 6.503 Å; angles 90.00, 90.00, 90.00 degrees
Space group P4/mmm (No. 123)
Asymmetric unit:
Co (0.000, 0.000, 0.000)
Ru (0.000, 0.000, 0.500)
Pb (0.500, 0.500, 0.244)

---

Entry 2:
CdAsIr2: relaxed, GGA-PBEsol.

The total energy is -6.065 eV/atom. The value obtained for the excess energy over the best structure of this formula in the dataset is 26.05 kJ per mole of atoms. Its formation energy is 0.422 eV/atom.

Cell lengths 2.890, 4.550, 4.852 Å; angles 90.00, 90.00, 90.00 degrees
Space group Pmmm (No. 47)
Asymmetric unit:
Cd (0.000, 0.000, 0.000)
As (0.500, 0.000, 0.500)
Ir (0.000, 0.500, 0.500)
Ir (0.500, 0.500, 0.000)

---

Entry 3:
CdSe2: relaxed, GGA-PBEsol.

The uncorrected formation energy is -0.32 eV per atom. The total energy is -3.288 eV/atom.

Cell lengths 6.606, 6.606, 6.606 Å; angles 90.00, 90.00, 90.00 degrees
Space group Pa-3 (No. 205)
Asymmetric unit:
Cd (0.000, 0.000, 0.000)
Se (0.104, 0.604, 0.896)